# 1
OsPt2Rh | PBEsol | relaxed

Properties
D(E_F): 1.1172 states/eV/atom
ΔH_f (0 K): 0.070 eV per atom

```
OsPt2Rh
1.0
2.722 0.000 0.000
0.000 2.722 0.000
0.000 0.000 7.714
Os Pt Rh
1 2 1
Direct
0.000 0.000 0.000 Os
0.500 0.500 0.246 Pt
0.500 0.500 0.754 Pt
0.000 0.000 0.500 Rh
```

# 2
OsPt2Rh | PBEsol | relaxed

Properties
D(E_F): 0.9994 states/eV/atom
ΔH_f (0 K): 0.027 eV per atom

```
OsPt2Rh
1.0
2.718 0.000 0.000
0.000 3.850 0.000
0.000 0.000 5.458
Os Pt Rh
1 2 1
Direct
0.000 0.000 0.000 Os
0.000 0.000 0.510 Pt
0.500 0.500 0.250 Pt
0.500 0.500 0.769 Rh
```

# 3
OsPtRh | PBEsol | relaxed

Properties
D(E_F): 1.0297 states/eV/atom
ΔH_f (0 K): 0.041 eV per atom

```
OsPtRh
1.0
2.710 0.000 0.000
-1.355 2.347 0.000
0.000 0.000 6.659
Os Pt Rh
1 1 1
Direct
0.000 0.000 0.000 Os
0.333 0.667 0.661 Pt
0.667 0.333 0.316 Rh
```

# 4
OsPtRh | PBEsol | relaxed

Properties
D(E_F): 0.8621 states/eV/atom
ΔH_f (0 K): 0.012 eV per atom

```
OsPtRh
1.0
-1.351 1.351 5.819
1.351 -1.351 5.819
1.351 1.351 -5.819
Os Pt Rh
1 1 1
Direct
0.000 0.000 0.000 Os
0.668 0.668 0.000 Pt
0.346 0.346 0.000 Rh
```

# 5
OsPt2Rh | PBEsol | relaxed

Properties
D(E_F): 1.0449 states/eV/atom
ΔH_f (0 K): 0.009 eV per atom

```
OsPt2Rh
1.0
1.361 0.786 8.941
-1.361 0.786 8.941
0.000 -1.571 8.941
Os Pt Rh
1 2 1
Direct
0.000 0.000 0.000 Os
0.250 0.250 0.250 Pt
0.496 0.496 0.496 Pt
0.745 0.745 0.745 Rh
```

# 6
OsPtRh2 | PBEsol | relaxed

Properties
D(E_F): 1.0281 states/eV/atom
ΔH_f (0 K): 0.026 eV per atom

```
OsPtRh2
1.0
-1.905 1.905 3.829
1.905 -1.905 3.829
1.905 1.905 -3.829
Os Pt Rh
1 1 2
Direct
0.000 0.000 0.000 Os
0.500 0.500 0.000 Pt
0.250 0.750 0.500 Rh
0.750 0.250 0.500 Rh
```

> Number 4 is which compound?

OsPtRh

> Look up the D(E_F) of the first one.

1.1172 states/eV/atom

> The highest D(E_F) belongs to which entry?

number 1

> ΔH_f (0 K) of number 3 (OsPtRh)?

0.041 eV per atom